# 1
VASP calculation (GGA-PBE) on a geometry-optimized LiZrAgSe2S structure.

The space group is Cmcm (No. 63) and the conventional cell measures 3.877, 13.810 and 10.315 Å, with angles of 90.00, 90.00 and 90.00 degrees. The distinct sites, in fractional coordinates, are Li at (0.000, 0.161, 0.250), Zr at (0.000, 0.500, 0.000), Ag at (0.000, 0.076, 0.750), Se at (0.000, 0.140, 0.519) and S at (0.000, 0.446, 0.750).

As for the crystal system: orthorhombic. For the spin magnetization, the calculation gives 0.0 Bohr magnetons per cell.

***

# 2
VASP calculation (GGA-PBE) on a geometry-optimized NaHoPO structure.

The space group is P4/nmm (No. 129, origin choice 2) and the conventional cell measures 3.836, 3.836 and 10.053 Å, with angles of 90.00, 90.00 and 90.00 degrees. The distinct sites, in fractional coordinates, are Na at (0.250, 0.750, 0.000), Ho at (0.250, 0.250, 0.389), P at (0.250, 0.250, 0.791) and O at (0.250, 0.750, 0.500).

As for the crystal system: tetragonal. As for the relative energy among the computed polymorphs: 25 meV per atom. For the spin magnetization, the calculation gives 0.0 Bohr magnetons per cell.

***

# 3
VASP calculation (GGA-PBE) on a geometry-optimized FeAu structure.

The space group is P6_3mc (No. 186) and the conventional cell measures 4.2297, 4.2297 and 5.2013 Å, with angles of 90.00, 90.00 and 120.00 degrees. The distinct sites, in fractional coordinates, are Fe at (0.3333, 0.6667, 0.0000) and Au at (0.3333, 0.6667, 0.5018).

The formation energy from the elements comes out at 78.5 kJ per mole of atoms. As for the crystal system: hexagonal. For the spin magnetization, the calculation gives 6.4 Bohr magnetons per cell.

***

# 4
VASP calculation (GGA-PBE) on a geometry-optimized LaCuSnS3 structure.

The space group is Pnma (No. 62) and the conventional cell measures 13.111, 3.992 and 11.046 Å, with angles of 90.00, 90.00 and 90.00 degrees. The distinct sites, in fractional coordinates, are La at (0.013, 0.250, 0.175), Cu at (0.006, 0.750, 0.418), Sn at (0.215, 0.250, 0.458), S at (0.100, 0.750, 0.605), S at (0.114, 0.250, 0.940) and S at (0.142, 0.750, 0.278).

As for the crystal system: orthorhombic. For the spin magnetization, the calculation gives 0.0 Bohr magnetons per cell.

***

# 5
VASP calculation (GGA-PBE) on a geometry-optimized CdP2 structure.

The space group is P4_12_12 (No. 92) and the conventional cell measures 5.322, 5.322 and 19.906 Å, with angles of 90.00, 90.00 and 90.00 degrees. The distinct sites, in fractional coordinates, are Cd at (0.126, 0.346, 0.298), P at (0.020, 0.023, 0.874) and P at (0.192, 0.714, 0.065).

As for the crystal system: tetragonal.

***

# 6
VASP calculation (GGA-PBE) on a geometry-optimized Ta2SiGe2 structure.

The space group is I4/mmm (No. 139) and the conventional cell measures 3.500, 3.500 and 13.970 Å, with angles of 90.00, 90.00 and 90.00 degrees. The distinct sites, in fractional coordinates, are Ta at (0.000, 0.000, 0.099), Si at (0.000, 0.000, 0.500) and Ge at (0.000, 0.500, 0.250).

As for the crystal system: tetragonal. For the spin magnetization, the calculation gives 0.0 Bohr magnetons per cell.

***

Number 1: electronic total energy -5.0196 eV/atom, calculated volume 23.011 Å³/atom. Number 2: electronic total energy -5.6793 eV/atom, calculated volume 18.492 Å³/atom. Number 3: electronic total energy -4.9742 eV/atom, calculated volume 20.147 Å³/atom. Number 4: electronic total energy -5.2087 eV/atom, calculated volume 24.091 Å³/atom. Number 5: electronic total energy -4.0352 eV/atom, calculated volume 23.488 Å³/atom. Number 6: electronic total energy -7.6922 eV/atom, calculated volume 17.110 Å³/atom.